CdFe2CuO | PBE with a Hubbard U | relaxed

Values from the calculation:
Its symmetry is P4/mmm, No. 123. The density of states at the Fermi level comes out at 3.23 states/eV/f.u. The total energy comes out at -3.222 eV per atom.

Unit cell a=4.6546 b=4.6546 c=4.8671 alpha=90.00 beta=90.00 gamma=90.00
Fractional positions:
Cd (0.0000, 0.0000, 0.0000)
Fe (0.0000, 0.5000, 0.5000)
Fe (0.5000, 0.0000, 0.5000)
Cu (0.0000, 0.0000, 0.5000)
O (0.5000, 0.5000, 0.0000)